Compound: Cd2PPt
Source: Alexandria
Functional: GGA-PBEsol
Structure: optimized geometry

The volume is 68.2 Å³ per cell. Its formation enthalpy at 0 K is 46 meV/atom.

The structure in POSCAR format:
```
Cd2PPt
1.0
-2.027 2.027 4.151
2.027 -2.027 4.151
2.027 2.027 -4.151
Cd P Pt
2 1 1
Direct
0.250 0.750 0.500
0.750 0.250 0.500
0.000 0.000 0.000
0.500 0.500 0.000
```

Compound: CdP2Pt
Source: Alexandria
Functional: GGA-PBEsol
Structure: optimized geometry

The volume is 79.3 Å³ per cell. Its formation enthalpy at 0 K is -11 meV/atom.

The structure in POSCAR format:
```
CdP2Pt
1.0
3.930 0.000 0.000
0.000 2.006 5.031
0.000 -2.006 5.031
Cd P Pt
1 2 1
Direct
0.000 0.000 0.000
0.500 0.174 0.174
0.500 0.412 0.412
0.500 0.795 0.795
```

Compound: CdP2Pt
Source: Alexandria
Functional: GGA-PBEsol
Structure: optimized geometry

The volume is 64.5 Å³ per cell. Its formation enthalpy at 0 K is 258 meV/atom.

The structure in POSCAR format:
```
CdP2Pt
1.0
-2.422 2.422 2.750
2.422 -2.422 2.750
2.422 2.422 -2.750
Cd P Pt
1 2 1
Direct
0.000 0.000 0.000
0.250 0.750 0.500
0.750 0.250 0.500
0.500 0.500 0.000
```

Compound: Rb2CdP2Se6
Source: Alexandria
Functional: GGA-PBEsol
Structure: optimized geometry

As for the formation energy without anion corrections: -617.0 kJ/mol of formula units. The volume is 632.2 Å³ per cell.

The structure in POSCAR format:
```
Rb2CdP2Se6
1.0
6.615 0.000 0.000
0.000 12.450 0.000
-5.550 0.000 7.677
Rb Cd P Se
4 2 4 12
Direct
0.226 0.180 0.481
0.226 0.320 0.981
0.774 0.680 0.019
0.774 0.820 0.519
0.500 0.000 0.000
0.500 0.500 0.500
0.152 0.541 0.626
0.152 0.959 0.126
0.848 0.041 0.874
0.848 0.459 0.374
0.027 0.074 0.744
0.027 0.426 0.244
0.262 0.683 0.549
0.262 0.817 0.049
0.461 0.075 0.265
0.461 0.425 0.765
0.539 0.575 0.235
0.539 0.925 0.735
0.738 0.183 0.951
0.738 0.317 0.451
0.973 0.574 0.756
0.973 0.926 0.256
```

Compound: CdRe2P
Source: Alexandria
Functional: GGA-PBEsol
Structure: optimized geometry

The volume is 61.0 Å³ per cell. For the energy above the lowest structure with this stoichiometry, the calculation gives 262.8 meV/atom. Its formation enthalpy at 0 K is 400 meV/atom.

The structure in POSCAR format:
```
CdRe2P
1.0
1.480 -2.413 0.000
1.480 2.413 0.000
0.000 0.000 8.537
Cd Re P
1 2 1
Direct
0.000 0.000 0.000
0.500 0.500 0.289
0.500 0.500 0.711
0.000 0.000 0.500
```

Compound: CdRe2P
Source: Alexandria
Functional: GGA-PBEsol
Structure: optimized geometry

The volume is 59.8 Å³ per cell. For the energy above the lowest structure with this stoichiometry, the calculation gives 62.1 meV/atom. Its formation enthalpy at 0 K is 199 meV/atom.

The structure in POSCAR format:
```
CdRe2P
1.0
1.417 0.818 8.592
-1.417 0.818 8.592
0.000 -1.637 8.592
Cd Re P
1 2 1
Direct
0.000 0.000 0.000
0.237 0.237 0.237
0.763 0.763 0.763
0.500 0.500 0.500
```

no.,DOS(E_F) (states/eV/atom),energy (eV/atom)
1,0.41,-3.741
2,0.33,-4.947
3,0.41,-4.678
4,0.00,-4.030
5,0.57,-8.013
6,0.83,-8.214